# Cs2NaAlI6

Cs2NaAlI6 after structural relaxation (PBE-GGA, the Alexandria database).

Unit cell a=8.3656 b=8.3656 c=7.6689 alpha=90.00 beta=90.00 gamma=120.00
Closest atoms and distances in Å follow each position.
Element x y z (fractional)
Cs (0.3333, 0.6667, 0.3061)  9 I 4.01-4.19
Cs (0.6667, 0.3333, 0.6939)  9 I 4.01-4.19
Na (0.0000, 0.0000, 0.0000)  6 I 3.18
Al (0.0000, 0.0000, 0.5000)  6 I 2.81
I (0.1582, 0.3163, 0.7117)  1 Al 2.81
I (0.1582, 0.8418, 0.7117)  1 Al 2.81
I (0.3163, 0.1582, 0.2883)  1 Al 2.81
I (0.6837, 0.8418, 0.7117)  1 Al 2.81
I (0.8418, 0.1582, 0.2883)  1 Al 2.81
I (0.8418, 0.6837, 0.2883)  1 Al 2.81

Summary:
V = 46.48 A^3/atom
Total magnetization = 0.0 μB/f.u.
E above lowest polymorph = 0.00 eV/f.u.
Formation energy from raw total energies = -11.223 eV/f.u.
DFT total energy = -2.729 eV/atom